This record from the Alexandria database describes a relaxed structure of VTcNO2. The functional is PBE+U.

a b c (Å): 3.9323 3.9323 3.8346
angles (deg): 90.00 90.00 90.00
Atoms (fractional coordinates):
V1 0.0000 0.0000 0.0000
Tc1 0.5000 0.5000 0.5000
N1 0.5000 0.5000 0.0000
O1 0.0000 0.5000 0.5000
O2 0.5000 0.0000 0.5000

Results
Volume in Å³/atom: 11.859
Total energy in eV/cell: -37.80
SG: P4/mmm (123)